Density functional theory data (PBE) for crystalline La2Cu3As4Au at its relaxed geometry.

**Energy of formation from the pure elements**: -0.65 eV per atom
**SG**: P-4m2, No. 115

The structure in POSCAR format:
```
La2Cu3As4Au
1.0
-2.3497 -3.6883 0.8472
1.7817 -1.9580 -3.5825
7.4023 -3.4386 5.5607
As Au Cu La
4 1 3 2
Cartesian
-0.2840 -2.8231 -1.3676
0.0000 0.0000 0.0000
3.5186 -2.1997 0.1828
3.5997 -4.0620 4.0103
3.4171 -4.5424 1.4127
3.7011 -1.7193 2.7803
1.7306 -1.3691 -1.1604
5.3876 -4.8926 5.3534
6.5048 -3.5868 2.4261
0.6135 -2.6748 1.7670
```



Density functional theory data (PBE) for crystalline MgMoRu2 at its relaxed geometry.

**Energy of formation from the pure elements**: 0.15 eV per atom
**SG**: Pmm2, No. 25

The structure in POSCAR format:
```
MgMoRu2
1.0
2.7747 0.0000 0.0000
0.0000 4.1949 0.0000
0.0000 0.0000 5.1778
Mg Ru Mo
1 2 1
Cartesian
0.0000 0.0000 2.4978
1.3874 2.0975 1.4132
0.0000 0.0000 5.1037
1.3874 2.0975 3.9296
```



Density functional theory data (PBE) for crystalline Tl2Zn2Re at its relaxed geometry.

**Energy of formation from the pure elements**: 0.85 eV per atom
**SG**: I4/mmm, No. 139

The structure in POSCAR format:
```
Tl2Zn2Re
1.0
-4.4672 -1.5546 7.4904
-7.5752 -2.5445 3.8236
6.7916 -0.2801 -5.6811
Zn Re Tl
2 1 2
Cartesian
-1.8484 -1.9421 3.7332
-3.4024 -2.4371 1.8998
0.0000 0.0000 0.0000
-7.1613 -2.4376 6.7281
-4.8812 -1.6615 4.5859
```



Density functional theory data (PBE) for crystalline PrZn3Ga at its relaxed geometry.

**Energy of formation from the pure elements**: 0.10 eV per atom
**SG**: I-4m2, No. 119

The structure in POSCAR format:
```
PrZn3Ga
1.0
4.6909 0.0000 0.0000
0.0000 4.6909 0.0000
-2.3455 -2.3455 11.6203
Zn Ga Pr
6 2 2
Cartesian
1.1717 2.3455 8.6770
2.3455 2.3455 3.5264
0.0000 0.0000 8.0940
0.0000 1.1738 2.9433
-1.1717 2.3455 8.6770
0.0000 3.5171 2.9433
2.3455 0.0000 9.4926
2.3455 0.0000 2.1277
0.0000 2.3455 5.8102
0.0000 0.0000 0.0000
```



Density functional theory data (PBE) for crystalline Ba4IrBr2F at its relaxed geometry.

**SG**: P2/m, No. 10
**Raw total energy**: -4.236 eV/atom

The structure in POSCAR format:
```
Ba4IrBr2F
1.0
4.5165 0.0000 0.0000
0.0000 7.5374 0.2444
0.0000 -2.5276 8.1630
F Ir Br Ba
1 1 2 4
Cartesian
0.0000 0.0000 0.0000
2.2583 3.7687 0.1222
0.0000 2.5049 4.2037
2.2583 -1.2638 4.0815
2.2583 3.6522 6.6031
0.0000 5.1210 1.8147
0.0000 -0.1113 6.5927
2.2583 1.3576 1.8043
```



Density functional theory data (PBE) for crystalline LaMgTiN3 at its relaxed geometry.

**SG**: P2_1/m, No. 11
**Raw total energy**: -7.273 eV/atom

The structure in POSCAR format:
```
LaMgTiN3
1.0
3.3823 0.0000 0.0000
0.0000 5.3546 1.5726
0.0000 -0.6940 9.0421
La N Mg Ti
2 6 2 2
Cartesian
2.5367 3.4524 9.3257
0.8456 1.2082 1.2890
0.8456 2.3588 8.1737
0.8456 2.0351 5.4363
2.5367 2.3017 2.4410
2.5367 2.6254 5.1784
0.8456 -0.1884 3.3537
2.5367 4.8490 7.2611
2.5367 1.3409 6.9424
0.8456 3.3196 3.6723
2.5367 0.8139 4.1218
0.8456 3.8467 6.4930
```